The following is a PBE calculation of TbNd2Ni after structural relaxation, from Alexandria.

```
8
Lattice="1.875 -6.007 0.000 1.875 6.007 0.000 0.000 0.000 9.917" Properties=species:S:1:pos:R:3 pbc="T T T"
Tb 1.875 4.948 7.438
Tb 1.875 -4.948 2.479
Nd 1.875 1.649 5.640
Nd 1.875 1.649 9.235
Nd 1.875 -1.649 0.681
Nd 1.875 -1.649 4.277
Ni 1.875 3.187 2.479
Ni 1.875 -3.187 7.438
```

crystal system = orthorhombic
relative energy among the computed polymorphs = 21 meV per atom
density of states at the Fermi level = 1.260 states/eV per atom

***

The following is a PBE calculation of Pm3PBr3 after structural relaxation, from Alexandria.

```
14
Lattice="8.651 0.000 0.000 0.000 4.113 0.000 -0.032 0.000 11.831" Properties=species:S:1:pos:R:3 pbc="T T T"
Pm 0.822 1.028 1.378
Pm 1.053 1.028 7.690
Pm 2.880 3.085 10.319
Pm 5.738 1.028 1.513
Pm 7.566 3.085 4.141
Pm 7.797 3.085 10.453
P 1.031 1.028 10.432
P 7.588 3.085 1.399
Br 1.103 1.028 4.514
Br 3.168 3.085 7.358
Br 3.296 3.085 1.557
Br 5.323 1.028 10.274
Br 5.451 1.028 4.473
Br 7.516 3.085 7.317
```

energy relative to the elements, uncorrected = -1.61 eV per atom
crystal system = monoclinic
density of states at the Fermi level = 0.495 states/eV per atom

***

The following is a PBE calculation of Ac3Sn after structural relaxation, from Alexandria.

```
32
Lattice="13.789 0.000 0.000 0.000 13.789 0.000 0.000 0.000 6.789" Properties=species:S:1:pos:R:3 pbc="T T T"
Ac 0.401 7.858 1.645
Ac 0.964 13.388 5.040
Ac 1.515 3.052 0.153
Ac 1.915 9.196 4.964
Ac 2.302 11.873 1.569
Ac 3.052 5.380 3.242
Ac 3.842 1.515 3.242
Ac 4.593 8.810 1.569
Ac 4.979 11.487 4.964
Ac 5.380 3.842 0.153
Ac 5.931 7.295 5.040
Ac 6.493 12.825 1.645
Ac 7.295 0.964 5.144
Ac 7.858 6.493 1.750
Ac 8.409 9.947 6.637
Ac 8.810 2.302 1.826
Ac 9.196 4.979 5.220
Ac 9.947 12.274 3.548
Ac 10.736 8.409 3.548
Ac 11.487 1.915 5.220
Ac 11.873 4.593 1.826
Ac 12.274 10.736 6.637
Ac 12.825 0.401 1.750
Ac 13.388 5.931 5.144
Sn 0.664 2.902 3.575
Sn 2.902 6.231 6.609
Sn 3.993 0.664 6.609
Sn 6.231 3.993 3.575
Sn 7.558 9.796 3.214
Sn 9.796 13.125 0.181
Sn 10.887 7.558 0.181
Sn 13.125 10.887 3.214
```

crystal system = tetragonal
relative energy among the computed polymorphs = 0 meV per atom
density of states at the Fermi level = 1.526 states/eV per atom

***

The following is a PBE calculation of P3Ir2Au after structural relaxation, from Alexandria.

```
6
Lattice="3.881 0.000 0.000 0.000 4.655 0.000 -1.051 0.000 5.527" Properties=species:S:1:pos:R:3 pbc="T T T"
P 0.000 0.000 0.000
P -0.445 0.000 3.318
P 2.178 2.328 1.908
Ir 0.228 2.328 3.158
Ir 1.483 0.000 1.881
Au 2.171 2.328 5.222
```

crystal system = monoclinic
relative energy among the computed polymorphs = 166 meV per atom
density of states at the Fermi level = 0.461 states/eV per atom